P.
{
  "formula": "Na3AgB",
  "functional": "PBE",
  "state": "optimized geometry",
  "lattice": [[5.124, 0.000, 0.000], [0.000, 5.124, 0.000], [0.000, 0.000, 5.124]],
  "species": ["Ag", "Na", "Na", "B", "Na"],
  "frac_coords": [[0.500, 0.500, 0.500], [0.000, 0.500, 0.000], [0.500, 0.000, 0.000], [0.000, 0.000, 0.000], [0.000, 0.000, 0.500]],
  "space_group": "Pm-3m",
  "dos_at_fermi_per_ev_cell": 2.764,
  "total_magnetization_mub_per_cell": 1.87
}


Q.
{
  "formula": "Na3AgB",
  "functional": "PBE",
  "state": "optimized geometry",
  "lattice": [[-4.036, -2.563, 2.646], [3.239, -0.600, 4.359], [-1.755, 4.788, 1.963]],
  "species": ["Na", "B", "Na", "Na", "Ag"],
  "frac_coords": [[0.000, 0.000, 0.500], [0.500, 0.500, 0.500], [0.500, 0.000, 0.000], [0.000, 0.500, 0.000], [0.000, 0.000, 0.000]],
  "space_group": "Pm-3m",
  "dos_at_fermi_per_ev_cell": 3.120,
  "total_magnetization_mub_per_cell": 0.00
}


Which one sits at the top of the stability order? P does.


P.
{
  "formula": "NaAgB3",
  "functional": "PBE",
  "state": "optimized geometry",
  "lattice": [[4.299, 0.000, 0.000], [0.000, 4.299, 0.000], [0.000, 0.000, 4.299]],
  "species": ["Ag", "Na", "B", "B", "B"],
  "frac_coords": [[0.000, 0.000, 0.000], [0.500, 0.500, 0.500], [0.000, 0.500, 0.000], [0.500, 0.000, 0.000], [0.000, 0.000, 0.500]],
  "space_group": "Pm-3m",
  "dos_at_fermi_per_ev_cell": 3.491,
  "total_magnetization_mub_per_cell": 0.00
}


Q.
{
  "formula": "NaAgB3",
  "functional": "PBE",
  "state": "optimized geometry",
  "lattice": [[4.408, 0.000, 0.000], [0.000, 4.408, 0.000], [0.000, 0.000, 4.408]],
  "species": ["Na", "Ag", "B", "B", "B"],
  "frac_coords": [[0.000, 0.000, 0.000], [0.500, 0.500, 0.500], [0.500, 0.000, 0.000], [0.000, 0.500, 0.000], [0.000, 0.000, 0.500]],
  "space_group": "Pm-3m",
  "dos_at_fermi_per_ev_cell": 2.255,
  "total_magnetization_mub_per_cell": 0.00
}


Which one sits at the top of the stability order? P does.